Record 1
A relaxed Pr5InBi4 crystal. Source: Alexandria, functional PBE-GGA.

a = 8.0178 Å, b = 8.0178 Å, c = 8.0178 Å
α = 99.55°, β = 99.55°, γ = 131.93°
Closest atoms and distances in Å follow each position.
Positions (direct):
1 Pr 0.0000 0.0000 0.0000  2 In 3.27, 4 Bi 3.27
2 Pr 0.1958 0.3970 0.5929  5 Bi 3.22-3.30, 1 In 3.33
3 Pr 0.3970 0.8042 0.2012  5 Bi 3.22-3.30, 1 In 3.33
4 Pr 0.6030 0.1958 0.7988  5 Bi 3.22-3.30, 1 In 3.33
5 Pr 0.8042 0.6030 0.4071  5 Bi 3.22-3.30, 1 In 3.33
6 In 0.5000 0.5000 0.0000  6 Pr 3.27-3.33
7 Bi 0.0995 0.7004 0.7998  6 Pr 3.22-3.30
8 Bi 0.2996 0.0995 0.3991  6 Pr 3.22-3.30
9 Bi 0.7004 0.9005 0.6009  6 Pr 3.22-3.30
10 Bi 0.9005 0.2996 0.2002  6 Pr 3.22-3.30

Output
space-group type = No. 87
formation enthalpy at 0 K = -0.791 eV/atom
magnetic moment = 0.00 μB per cell

Record 2
A relaxed PrInBi2 crystal. Source: Alexandria, functional PBE-GGA.

a = 3.4858 Å, b = 3.4858 Å, c = 38.1259 Å
α = 90.00°, β = 90.00°, γ = 120.00°
Closest atoms and distances in Å follow each position.
Positions (direct):
1 Pr 0.0000 0.0000 0.0000  2 Bi 3.31, 6 Pr 3.49
2 Pr 0.3333 0.6667 0.6667  2 Bi 3.31, 6 Pr 3.49
3 Pr 0.6667 0.3333 0.3333  2 Bi 3.31, 6 Pr 3.49
4 In 0.0000 0.0000 0.5000  6 In 3.49, 6 Bi 3.65
5 In 0.3333 0.6667 0.1667  6 In 3.49, 6 Bi 3.65
6 In 0.6667 0.3333 0.8333  6 In 3.49, 6 Bi 3.65
7 Bi 0.0000 0.0000 0.0868  1 Pr 3.31, 6 Bi 3.49, 3 In 3.65
8 Bi 0.0000 0.0000 0.9132  1 Pr 3.31, 6 Bi 3.49, 3 In 3.65
9 Bi 0.3333 0.6667 0.5799  1 Pr 3.31, 6 Bi 3.49, 3 In 3.65
10 Bi 0.3333 0.6667 0.7534  1 Pr 3.31, 6 Bi 3.49, 3 In 3.65
11 Bi 0.6667 0.3333 0.2466  1 Pr 3.31, 6 Bi 3.49, 3 In 3.65
12 Bi 0.6667 0.3333 0.4201  1 Pr 3.31, 6 Bi 3.49, 3 In 3.65

Output
distance to the lowest polymorph of the same formula = 209 kJ/mol of formula units
space-group type = No. 166
formation enthalpy at 0 K = 0.084 eV/atom
magnetic moment = 0.00 μB per cell

Record 3
A relaxed PrInBiSe crystal. Source: Alexandria, functional PBE-GGA.

a = 5.2663 Å, b = 5.2663 Å, c = 8.6028 Å
α = 90.00°, β = 90.00°, γ = 90.00°
Closest atoms and distances in Å follow each position.
Positions (direct):
1 Pr 0.2500 0.2500 0.1669  4 Se 3.00
2 Pr 0.7500 0.7500 0.8331  4 Se 3.00
3 In 0.2500 0.7500 0.5000  4 Bi 3.11
4 In 0.7500 0.2500 0.5000  4 Bi 3.11
5 Bi 0.2500 0.2500 0.6922  4 In 3.11
6 Bi 0.7500 0.7500 0.3078  4 In 3.11
7 Se 0.2500 0.7500 0.0000  4 Pr 3.00
8 Se 0.7500 0.2500 0.0000  4 Pr 3.00

Output
space-group type = No. 129
raw formation energy = -3.12 eV/f.u.
magnetic moment = 0.00 μB per cell

What is the magnetic moment in the second record?
0.00 μB per cell